# Na2TaReBr, relaxed, DFT PBEsol
# size of the total moment = 1.5198 μB/atom
# calculated total energy = -0.28659 Ry per atom
data_Na2TaReBr
_chemical_formula_sum 'Na2 Ta1 Re1 Br1'
_cell_length_a 5.994
_cell_length_b 5.994
_cell_length_c 4.851
_cell_angle_alpha 90.00
_cell_angle_beta 90.00
_cell_angle_gamma 90.00
_symmetry_space_group_name_H-M 'P 4/m m m'
_symmetry_Int_Tables_number 123
_symmetry_space_group_name_Hall '-P 4 2'
loop_
_atom_site_label
_atom_site_type_symbol
_atom_site_fract_x
_atom_site_fract_y
_atom_site_fract_z
_atom_site_occupancy
Na1 Na 0.000 0.500 0.000 1
Ta1 Ta 0.000 0.000 0.000 1
Re1 Re 0.500 0.500 0.500 1
Br1 Br 0.000 0.000 0.500 1